DFT (PBE-GGA) results for a relaxed structure of TbDyAu6.

```
data_TbDyAu6
_cell_length_a 5.0389
_cell_length_b 6.1865
_cell_length_c 5.1297
_cell_angle_alpha 90.00
_cell_angle_beta 90.00
_cell_angle_gamma 90.00
_symmetry_space_group_name_H-M 'P m m 2'
_symmetry_Int_Tables_number 25
_symmetry_space_group_name_Hall 'P 2 -2'
loop_
_atom_site_label
_atom_site_fract_x
_atom_site_fract_y
_atom_site_fract_z
Tb1 0.0000 0.0000 0.0000
Dy1 0.5000 0.5000 0.6895
Au1 0.0000 0.2577 0.5050
Au2 0.0000 0.5000 0.0127
Au3 0.5000 0.0000 0.6766
Au4 0.5000 0.2426 0.1846
```

Output
Final energy   -34.616 eV/f.u.
DFT formation energy   -0.723 eV/atom

***

DFT (PBE-GGA) results for a relaxed structure of NaNdFeSe3.

```
data_NaNdFeSe3
_cell_length_a 18.6572
_cell_length_b 4.1767
_cell_length_c 8.0580
_cell_angle_alpha 90.00
_cell_angle_beta 105.04
_cell_angle_gamma 90.00
_symmetry_space_group_name_H-M 'C 1 2/m 1'
_symmetry_Int_Tables_number 12
_symmetry_space_group_name_Hall '-C 2y'
loop_
_atom_site_label
_atom_site_fract_x
_atom_site_fract_y
_atom_site_fract_z
Na1 0.1223 0.0000 0.0716
Nd1 0.1713 0.0000 0.5939
Fe1 0.0268 0.5000 0.7188
Se1 0.0000 0.0000 0.5000
Se2 0.0000 0.5000 0.0000
Se3 0.1621 0.5000 0.8384
Se4 0.1678 0.5000 0.3403
```

Output
Final energy   -30.815 eV/f.u.
Energy above the lowest structure with this stoichiometry   125 meV per atom

***

DFT (PBE-GGA) results for a relaxed structure of GdAgTe2.

```
data_GdAgTe2
_cell_length_a 6.7311
_cell_length_b 6.7311
_cell_length_c 13.3537
_cell_angle_alpha 90.00
_cell_angle_beta 90.00
_cell_angle_gamma 90.00
_symmetry_space_group_name_H-M 'I -4 2 d'
_symmetry_Int_Tables_number 122
_symmetry_space_group_name_Hall 'I -4 2bw'
loop_
_atom_site_label
_atom_site_fract_x
_atom_site_fract_y
_atom_site_fract_z
Gd1 0.0000 0.0000 0.0000
Ag1 0.0000 0.0000 0.5000
Te1 0.2318 0.7500 0.6250
```

Output
Final energy   -16.754 eV/f.u.

***

DFT (PBE-GGA) results for a relaxed structure of BaYCdAu.

```
data_BaYCdAu
_cell_length_a 7.4783
_cell_length_b 7.4783
_cell_length_c 7.4783
_cell_angle_alpha 90.00
_cell_angle_beta 90.00
_cell_angle_gamma 90.00
_symmetry_space_group_name_H-M 'F -4 3 m'
_symmetry_Int_Tables_number 216
_symmetry_space_group_name_Hall 'F -4 2 3'
loop_
_atom_site_label
_atom_site_fract_x
_atom_site_fract_y
_atom_site_fract_z
Ba1 0.0000 0.0000 0.0000
Y1 0.2500 0.2500 0.7500
Cd1 0.2500 0.2500 0.2500
Au1 0.0000 0.0000 0.5000
```

Output
Final energy   -13.329 eV/f.u.
Energy above the lowest structure with this stoichiometry   173 meV per atom

***

DFT (PBE-GGA) results for a relaxed structure of Sr2ZnPt.

```
data_Sr2ZnPt
_cell_length_a 3.9959
_cell_length_b 12.7608
_cell_length_c 9.2111
_cell_angle_alpha 90.00
_cell_angle_beta 90.00
_cell_angle_gamma 90.00
_symmetry_space_group_name_H-M 'C m c m'
_symmetry_Int_Tables_number 63
_symmetry_space_group_name_Hall '-C 2c 2'
loop_
_atom_site_label
_atom_site_fract_x
_atom_site_fract_y
_atom_site_fract_z
Sr1 0.0000 0.1342 0.0622
Zn1 0.0000 0.4010 0.2500
Pt1 0.0000 0.2269 0.7500
```

Output
Final energy   -12.529 eV/f.u.

***

DFT (PBE-GGA) results for a relaxed structure of DyGaAsO.

```
data_DyGaAsO
_cell_length_a 4.0287
_cell_length_b 4.0287
_cell_length_c 9.1867
_cell_angle_alpha 90.00
_cell_angle_beta 90.00
_cell_angle_gamma 90.00
_symmetry_space_group_name_H-M 'P 4/n m m'
_symmetry_Int_Tables_number 129
loop_
_symmetry_equiv_pos_as_xyz
'x,y,z'
'-x,-y,-z'
'-y+1/2,x,z'
'y+1/2,-x,-z'
'-x+1/2,-y+1/2,z'
'x+1/2,y+1/2,-z'
'y,-x+1/2,z'
'-y,x+1/2,-z'
'x+1/2,-y,-z'
'-x+1/2,y,z'
'-y,-x,-z'
'y,x,z'
'-x,y+1/2,-z'
'x,-y+1/2,z'
'y+1/2,x+1/2,-z'
'-y+1/2,-x+1/2,z'
loop_
_atom_site_label
_atom_site_fract_x
_atom_site_fract_y
_atom_site_fract_z
Dy1 0.2500 0.2500 0.1136
Ga1 0.2500 0.7500 0.5000
As1 0.2500 0.2500 0.6913
O1 0.2500 0.7500 0.0000
```

Output
Final energy   -23.697 eV/f.u.
Energy above the lowest structure with this stoichiometry   0 meV per atom

***

DFT (PBE-GGA) results for a relaxed structure of CuAg4.

```
data_CuAg4
_cell_length_a 23.2973
_cell_length_b 2.9053
_cell_length_c 4.9590
_cell_angle_alpha 90.00
_cell_angle_beta 94.77
_cell_angle_gamma 90.00
_symmetry_space_group_name_H-M 'C 1 2/m 1'
_symmetry_Int_Tables_number 12
_symmetry_space_group_name_Hall '-C 2y'
loop_
_atom_site_label
_atom_site_fract_x
_atom_site_fract_y
_atom_site_fract_z
Cu1 0.0482 0.0000 0.3525
Ag1 0.0452 0.5000 0.8357
Ag2 0.1448 0.5000 0.5435
Ag3 0.1462 0.0000 0.0500
Ag4 0.2494 0.0000 0.7492
```

Output
Final energy   -14.740 eV/f.u.
Energy above the lowest structure with this stoichiometry   30 meV per atom
DFT formation energy   0.055 eV/atom

***

DFT (PBE-GGA) results for a relaxed structure of NaGeBiOs.

```
data_NaGeBiOs
_cell_length_a 6.6864
_cell_length_b 6.6864
_cell_length_c 6.6864
_cell_angle_alpha 90.00
_cell_angle_beta 90.00
_cell_angle_gamma 90.00
_symmetry_space_group_name_H-M 'F -4 3 m'
_symmetry_Int_Tables_number 216
_symmetry_space_group_name_Hall 'F -4 2 3'
loop_
_atom_site_label
_atom_site_fract_x
_atom_site_fract_y
_atom_site_fract_z
Na1 0.0000 0.0000 0.0000
Ge1 0.2500 0.2500 0.2500
Bi1 0.2500 0.2500 0.7500
Os1 0.0000 0.0000 0.5000
```

Output
Final energy   -19.646 eV/f.u.
Energy above the lowest structure with this stoichiometry   0 meV per atom

***

DFT (PBE-GGA) results for a relaxed structure of HoLuTlTe3.

```
data_HoLuTlTe3
_cell_length_a 4.3489
_cell_length_b 15.2754
_cell_length_c 11.9032
_cell_angle_alpha 90.00
_cell_angle_beta 90.00
_cell_angle_gamma 90.00
_symmetry_space_group_name_H-M 'C m c m'
_symmetry_Int_Tables_number 63
_symmetry_space_group_name_Hall '-C 2c 2'
loop_
_atom_site_label
_atom_site_fract_x
_atom_site_fract_y
_atom_site_fract_z
Ho1 0.0000 0.0686 0.2500
Lu1 0.0000 0.5000 0.0000
Tl1 0.0000 0.2510 0.7500
Te1 0.0000 0.1407 0.0226
Te2 0.0000 0.4358 0.2500
```

Output
Final energy   -26.458 eV/f.u.
Energy above the lowest structure with this stoichiometry   72 meV per atom

***

DFT (PBE-GGA) results for a relaxed structure of NbGa2Mo3C2.

```
data_NbGa2Mo3C2
_cell_length_a 3.1050
_cell_length_b 3.1050
_cell_length_c 13.2214
_cell_angle_alpha 90.00
_cell_angle_beta 90.00
_cell_angle_gamma 120.00
_symmetry_space_group_name_H-M 'P 3 m 1'
_symmetry_Int_Tables_number 156
_symmetry_space_group_name_Hall 'P 3 -2"'
loop_
_atom_site_label
_atom_site_fract_x
_atom_site_fract_y
_atom_site_fract_z
Nb1 0.0000 0.0000 0.0000
Ga1 0.0000 0.0000 0.6579
Ga2 0.6667 0.3333 0.1661
Mo1 0.0000 0.0000 0.3244
Mo2 0.6667 0.3333 0.4984
Mo3 0.6667 0.3333 0.8191
C1 0.3333 0.6667 0.4112
C2 0.3333 0.6667 0.9045
```

Output
Final energy   -68.861 eV/f.u.

***

DFT (PBE-GGA) results for a relaxed structure of TbGd2In3IrAu2.

```
data_TbGd2In3IrAu2
_cell_length_a 3.9660
_cell_length_b 13.4131
_cell_length_c 7.7504
_cell_angle_alpha 90.00
_cell_angle_beta 90.00
_cell_angle_gamma 90.00
_symmetry_space_group_name_H-M 'A m m 2'
_symmetry_Int_Tables_number 38
_symmetry_space_group_name_Hall 'A 2 -2'
loop_
_atom_site_label
_atom_site_fract_x
_atom_site_fract_y
_atom_site_fract_z
Tb1 0.0000 0.0000 0.0000
Gd1 0.0000 0.1991 0.5970
In1 0.5000 0.0000 0.6513
In2 0.5000 0.1265 0.2711
Ir1 0.0000 0.0000 0.3974
Au1 0.5000 0.1662 0.8981
```

Output
Final energy   -44.176 eV/f.u.

***

DFT (PBE-GGA) results for a relaxed structure of HfZrAuN.

```
data_HfZrAuN
_cell_length_a 3.2287
_cell_length_b 17.1644
_cell_length_c 4.6015
_cell_angle_alpha 90.00
_cell_angle_beta 90.00
_cell_angle_gamma 90.00
_symmetry_space_group_name_H-M 'C m c m'
_symmetry_Int_Tables_number 63
_symmetry_space_group_name_Hall '-C 2c 2'
loop_
_atom_site_label
_atom_site_fract_x
_atom_site_fract_y
_atom_site_fract_z
Hf1 0.0000 0.1064 0.2500
Zr1 0.0000 0.2871 0.2500
Au1 0.0000 0.4540 0.2500
N1 0.0000 0.3059 0.7500
```

Output
Final energy   -34.791 eV/f.u.
Energy above the lowest structure with this stoichiometry   25 meV per atom

***

- Which value of final energy does entry 2 give?
  -30.815 eV/f.u.

***

- Number 9 is which compound?
  HoLuTlTe3

***

- Which formula does entry 5 have?
  Sr2ZnPt